First-principles (PBE-GGA) data for a relaxed Nd2Cu5Rh crystal, as listed in Alexandria via LeMat-Bulk.

Summary:
- energy (eV per formula unit) = -39.19
- ΔE_f (eV/atom) = -0.23
- crystal system = orthorhombic

```
16
Lattice="-0.757 -2.167 3.481 4.300 -4.965 -4.653 7.490 3.133 3.578" Properties=species:S:1:pos:R:3 pbc="T T T"
Nd 7.618 -2.403 2.657
Nd 3.415 -1.595 -0.251
Nd 0.000 0.000 0.000
Nd 3.745 1.567 1.789
Cu 8.068 0.567 2.107
Cu 2.965 -4.565 0.300
Cu 6.031 -0.285 1.133
Cu 5.002 -3.713 1.273
Cu 10.063 -1.062 1.526
Cu 0.970 -2.937 0.880
Cu 6.549 -2.532 -0.152
Cu 4.484 -1.467 2.559
Cu 6.063 -0.003 3.813
Cu 4.971 -3.995 -1.406
Rh 9.074 -2.981 0.116
Rh 1.959 -1.017 2.290
```


First-principles (PBE-GGA) data for a relaxed Nd3CuRh crystal, as listed in Alexandria via LeMat-Bulk.

Summary:
- excess energy over the best structure of this formula in the dataset (meV/atom) = 2
- energy (eV per formula unit) = -27.41
- ΔE_f (eV/atom) = -0.33
- crystal system = monoclinic

```
20
Lattice="-2.709 -0.535 -6.132 -8.250 -5.140 4.092 -1.060 8.027 -0.232" Properties=species:S:1:pos:R:3 pbc="T T T"
Nd -9.351 2.757 -3.482
Nd -2.667 -0.406 1.210
Nd -8.143 -3.243 0.196
Nd -3.875 5.595 -2.468
Nd -6.222 3.202 -1.219
Nd -5.796 -0.850 -1.054
Nd -3.026 1.452 -6.166
Nd -8.993 0.899 3.893
Nd -3.327 3.757 1.135
Nd -8.691 -1.406 -3.407
Nd -3.217 1.431 -2.399
Nd -8.801 0.921 0.126
Cu -6.842 1.010 -3.069
Cu -5.176 1.342 0.797
Cu -1.397 3.844 -2.033
Cu -10.621 -1.492 -0.239
Rh -4.688 -2.681 0.769
Rh -7.331 5.032 -3.041
Rh -2.979 7.647 -4.574
Rh -9.039 -5.296 2.302
```


First-principles (PBE-GGA) data for a relaxed Nd6Cu2Rh crystal, as listed in Alexandria via LeMat-Bulk.

Summary:
- energy (eV per formula unit) = -45.72
- ΔE_f (eV/atom) = -0.17
- crystal system = monoclinic

```
18
Lattice="-0.461 2.591 -6.177 -6.750 -3.047 -0.775 -4.354 8.533 4.368" Properties=species:S:1:pos:R:3 pbc="T T T"
Nd -7.942 1.365 -4.917
Nd -7.431 4.969 -3.123
Nd -9.087 7.999 -1.635
Nd -4.067 6.008 -1.760
Nd -5.530 9.125 -0.249
Nd -4.518 2.457 -3.266
Nd -3.622 6.712 2.333
Nd -4.133 3.107 0.539
Nd -2.477 0.077 -0.949
Nd -7.497 2.068 -0.824
Nd -6.034 -1.049 -2.334
Nd -7.046 5.619 0.682
Cu -6.387 7.760 -2.756
Cu -9.469 5.027 -0.948
Cu -2.095 3.049 -1.635
Cu -5.177 0.317 0.173
Rh -3.605 -0.228 -3.476
Rh -2.177 4.266 2.184
```


First-principles (PBE-GGA) data for a relaxed Nd3Cu4Rh2 crystal, as listed in Alexandria via LeMat-Bulk.

Summary:
- energy (eV per formula unit) = -48.74
- ΔE_f (eV/atom) = -0.37
- crystal system = monoclinic

```
9
Lattice="-3.335 -0.198 2.653 -0.131 -4.249 -3.912 5.087 -2.470 6.211" Properties=species:S:1:pos:R:3 pbc="T T T"
Nd 1.024 -3.253 4.474
Nd 0.000 0.000 0.000
Nd 0.597 -3.664 0.478
Cu -2.211 -2.177 0.489
Cu 3.832 -4.740 4.463
Cu -0.173 -5.622 2.793
Cu 1.794 -1.295 2.159
Rh -0.682 -1.705 2.445
Rh 2.303 -5.212 2.507
```


First-principles (PBE-GGA) data for a relaxed Nd4CuRh crystal, as listed in Alexandria via LeMat-Bulk.

Summary:
- excess energy over the best structure of this formula in the dataset (meV/atom) = 0
- energy (eV per formula unit) = -32.24
- ΔE_f (eV/atom) = -0.29
- crystal system = cubic

```
24
Lattice="-3.816 -8.990 -0.600 5.835 -7.698 -1.564 1.583 -6.475 7.163" Properties=species:S:1:pos:R:3 pbc="T T T"
Nd 1.419 -9.124 1.969
Nd -0.201 -12.938 1.715
Nd 3.894 -12.390 1.306
Nd 2.090 -11.871 5.008
Nd 2.618 -15.427 5.525
Nd 2.784 -19.316 1.974
Nd 4.237 -15.893 2.202
Nd 1.165 -18.851 5.297
Nd 0.562 -16.385 2.569
Nd 4.840 -18.358 4.930
Nd 1.664 -8.382 5.421
Nd 1.937 -14.780 -0.422
Nd 4.328 -9.148 -0.046
Nd -0.727 -14.014 5.046
Nd -1.718 -9.958 0.558
Nd 5.319 -13.204 4.441
Cu 0.570 -3.663 0.791
Cu -0.833 -6.966 0.570
Cu 2.713 -6.491 0.216
Cu 1.151 -6.042 3.423
Rh 2.184 -14.047 3.032
Rh 3.809 -10.219 3.287
Rh -0.300 -10.769 3.698
Rh 1.510 -11.290 -0.018
```


First-principles (PBE-GGA) data for a relaxed Nd2CuRh2 crystal, as listed in Alexandria via LeMat-Bulk.

Summary:
- energy (eV per formula unit) = -31.08
- ΔE_f (eV/atom) = -0.55
- crystal system = monoclinic

```
10
Lattice="-3.503 3.335 2.614 -1.658 -2.390 -4.954 -1.342 -5.607 5.354" Properties=species:S:1:pos:R:3 pbc="T T T"
Nd -2.463 0.129 0.669
Nd -2.371 -2.939 -1.077
Nd -4.041 -4.792 2.345
Nd -4.132 -1.724 4.091
Cu -3.287 1.408 3.541
Cu -1.558 -3.681 4.427
Rh -4.463 -2.077 0.884
Rh -3.923 2.649 1.359
Rh -2.040 -2.586 2.131
Rh -2.580 -7.312 1.655
```


First-principles (PBE-GGA) data for a relaxed Nd2Cu5Rh5 crystal, as listed in Alexandria via LeMat-Bulk.

Summary:
- energy (eV per formula unit) = -70.52
- ΔE_f (eV/atom) = -0.31
- crystal system = orthorhombic

```
12
Lattice="4.102 0.000 0.000 0.000 5.356 0.000 0.000 0.000 9.010" Properties=species:S:1:pos:R:3 pbc="T T T"
Nd 0.000 2.678 0.000
Nd 0.000 0.000 4.505
Cu 0.000 2.678 3.002
Cu 0.000 0.000 7.541
Cu 0.000 0.000 1.469
Cu 0.000 2.678 6.008
Cu 2.051 0.000 0.000
Rh 2.051 2.678 4.505
Rh 2.051 4.026 2.214
Rh 2.051 1.330 6.796
Rh 2.051 1.330 2.214
Rh 2.051 4.026 6.796
```


First-principles (PBE-GGA) data for a relaxed Nd3CuRh crystal, as listed in Alexandria via LeMat-Bulk.

Summary:
- excess energy over the best structure of this formula in the dataset (meV/atom) = 0
- energy (eV per formula unit) = -27.42
- ΔE_f (eV/atom) = -0.33
- crystal system = monoclinic

```
10
Lattice="-3.321 1.787 1.223 -3.536 -3.709 -4.181 1.209 -7.180 7.350" Properties=species:S:1:pos:R:3 pbc="T T T"
Nd -2.989 -6.214 7.393
Nd -2.659 -2.888 -3.001
Nd -3.528 -7.967 2.063
Nd -2.120 -1.135 2.329
Nd -2.269 -4.456 0.351
Nd -3.379 -4.645 4.041
Cu -5.044 -5.698 1.058
Cu -0.604 -3.404 3.334
Rh -3.556 -2.004 -0.300
Rh -2.092 -7.097 4.692
```


First-principles (PBE-GGA) data for a relaxed Nd3CuRh2 crystal, as listed in Alexandria via LeMat-Bulk.

Summary:
- energy (eV per formula unit) = -36.34
- ΔE_f (eV/atom) = -0.54
- crystal system = orthorhombic

```
24
Lattice="-2.955 2.738 -0.956 1.128 -2.743 -11.338 -8.162 -8.383 1.216" Properties=species:S:1:pos:R:3 pbc="T T T"
Nd -0.777 -0.819 -4.428
Nd -9.213 -7.568 -6.650
Nd -4.849 -4.065 -10.104
Nd -5.141 -4.322 -0.973
Nd -1.625 -2.907 -7.785
Nd -8.365 -5.481 -3.292
Nd -4.425 -0.946 -2.481
Nd -5.565 -7.442 -8.596
Nd -3.332 -3.683 -4.731
Nd -6.658 -4.705 -6.347
Nd -2.155 -1.538 -11.189
Nd -7.834 -6.850 0.112
Cu -1.637 -0.723 -1.494
Cu -8.352 -7.664 -9.583
Cu -4.555 -2.783 -7.343
Cu -5.435 -5.604 -3.735
Rh -3.921 -5.269 -7.452
Rh -6.068 -3.119 -3.625
Rh -2.127 1.412 -2.833
Rh -7.863 -9.799 -8.244
Rh -3.335 -2.023 0.033
Rh -6.654 -6.365 -11.110
Rh -3.114 -0.859 -6.284
Rh -6.876 -7.529 -4.794
```


First-principles (PBE-GGA) data for a relaxed Nd2CuRh crystal, as listed in Alexandria via LeMat-Bulk.

Summary:
- energy (eV per formula unit) = -22.60
- ΔE_f (eV/atom) = -0.40
- crystal system = tetragonal

```
4
Lattice="3.598 0.000 0.000 0.000 5.020 0.000 0.000 0.000 5.020" Properties=species:S:1:pos:R:3 pbc="T T T"
Rh 1.799 2.510 2.510
Nd 0.000 0.000 2.510
Nd 0.000 2.510 0.000
Cu 1.799 0.000 0.000
```